Record 1
# TePb2Au

Crystalline TePb2Au at its relaxed geometry (GGA-PBE, Alexandria).

Values from the calculation:
Uncorrected energy   -3.542 eV/atom
E_form (uncorrected)   -83 meV per atom
Symmetry   P2/m

Lattice parameters (Å, degrees): 3.902 3.925 8.175 63.00 90.00 90.00
Sites, in units of the cell vectors:
Te 0.500 0.250 0.250
Pb 0.000 0.996 0.983
Pb 0.000 0.504 0.517
Au 0.500 0.750 0.750



Record 2
# Te2PbAu

Crystalline Te2PbAu at its relaxed geometry (GGA-PBE, Alexandria).

Values from the calculation:
Uncorrected energy   -3.366 eV/atom
E_form (uncorrected)   -49 meV per atom
Symmetry   Imm2

Lattice parameters (Å, degrees): 8.330 8.330 8.330 151.75 152.56 39.79
Sites, in units of the cell vectors:
Au 0.492 0.492 0.000
Pb 0.308 0.808 0.500
Te 0.714 0.214 0.500
Te 0.986 0.986 0.000